Record 1
Below is a crystal of BaLaHf2Pd relaxed with PBEsol, with properties calculated at the meta-GGA SCAN level.

a b c (Å): 5.1668 5.1668 5.9085
angles (deg): 90.00 90.00 90.00
Last column: nearest neighbours and their distance in Å.
Sites, in units of the cell vectors:
Hf (0.5000, 0.0000, 0.0000)  2 La 2.58
Hf (0.0000, 0.5000, 0.0000)  2 La 2.58
Ba (0.0000, 0.0000, 0.5000)  2 La 2.95
La (0.0000, 0.0000, 0.0000)  4 Hf 2.58
Pd (0.5000, 0.5000, 0.5000)  4 Ba 3.65, 8 Hf 3.92

## Properties
E: -46.6643 eV per atom
symmetry: P4/mmm (123)

Record 2
Below is a crystal of Ba3LiHf relaxed with PBEsol, with properties calculated at the meta-GGA SCAN level.

a b c (Å): 5.9715 5.9715 5.9715
angles (deg): 90.00 90.00 90.00
Last column: nearest neighbours and their distance in Å.
Sites, in units of the cell vectors:
Ba (0.0000, 0.0000, 0.5000)  2 Li 2.99
Ba (0.5000, 0.0000, 0.0000)  2 Li 2.99
Ba (0.0000, 0.5000, 0.0000)  2 Li 2.99
Hf (0.5000, 0.5000, 0.5000)  12 Ba 4.22
Li (0.0000, 0.0000, 0.0000)  6 Ba 2.99

## Properties
E: -35.7790 eV per atom
symmetry: Pm-3m (221)

Record 3
Below is a crystal of BaLi2Hf2 relaxed with PBEsol, with properties calculated at the meta-GGA SCAN level.

a b c (Å): 3.0861 8.8272 8.8272
angles (deg): 90.00 90.00 90.00
Last column: nearest neighbours and their distance in Å.
Sites, in units of the cell vectors:
Hf (0.5000, 0.6160, 0.8840)  3 Hf 2.90-3.09, 6 Li 3.02-3.06
Hf (0.5000, 0.8840, 0.3840)  3 Hf 2.90-3.09, 6 Li 3.02-3.06
Hf (0.5000, 0.3840, 0.1160)  3 Hf 2.90-3.09, 6 Li 3.02-3.06
Hf (0.5000, 0.1160, 0.6160)  3 Hf 2.90-3.09, 6 Li 3.02-3.06
Li (0.0000, 0.8273, 0.6727)  6 Hf 3.02-3.06, 2 Li 3.09, 2 Ba 3.27
Li (0.0000, 0.3273, 0.8273)  6 Hf 3.02-3.06, 2 Li 3.09, 2 Ba 3.27
Li (0.0000, 0.6727, 0.1727)  6 Hf 3.02-3.06, 2 Li 3.09, 2 Ba 3.27
Li (0.0000, 0.1727, 0.3273)  6 Hf 3.02-3.06, 2 Li 3.09, 2 Ba 3.27
Ba (0.0000, 0.5000, 0.5000)  2 Ba 3.09, 4 Li 3.27
Ba (0.0000, 0.0000, 0.0000)  2 Ba 3.09, 4 Li 3.27

## Properties
E: -33.2545 eV per atom
symmetry: P4/mbm (127)

Record 4
Below is a crystal of Ba3HfMg relaxed with PBEsol, with properties calculated at the meta-GGA SCAN level.

a b c (Å): 6.3433 6.3433 6.3433
angles (deg): 90.00 90.00 90.00
Last column: nearest neighbours and their distance in Å.
Sites, in units of the cell vectors:
Ba (0.0000, 0.0000, 0.5000)  2 Mg 3.17
Ba (0.5000, 0.0000, 0.0000)  2 Mg 3.17
Ba (0.0000, 0.5000, 0.0000)  2 Mg 3.17
Hf (0.5000, 0.5000, 0.5000)  12 Ba 4.49
Mg (0.0000, 0.0000, 0.0000)  6 Ba 3.17

## Properties
E: -36.1981 eV per atom
symmetry: Pm-3m (221)

Record 5
Below is a crystal of BaHfMnW2 relaxed with PBEsol, with properties calculated at the meta-GGA SCAN level.

a b c (Å): 4.9375 4.9375 5.0601
angles (deg): 90.00 90.00 90.00
Last column: nearest neighbours and their distance in Å.
Sites, in units of the cell vectors:
Hf (0.0000, 0.0000, 0.5000)  2 Ba 2.53
Ba (0.0000, 0.0000, 0.0000)  4 W 2.47, 2 Hf 2.53
W (0.0000, 0.5000, 0.0000)  2 Ba 2.47
W (0.5000, 0.0000, 0.0000)  2 Ba 2.47
Mn (0.5000, 0.5000, 0.5000)  4 Hf 3.49, 8 W 3.53

## Properties
E: -48.6988 eV per atom
symmetry: P4/mmm (123)

Record 6
Below is a crystal of BaHfZr2Mn relaxed with PBEsol, with properties calculated at the meta-GGA SCAN level.

a b c (Å): 5.0925 5.2468 5.2468
angles (deg): 90.00 90.00 90.00
Last column: nearest neighbours and their distance in Å.
Sites, in units of the cell vectors:
Zr (0.0000, 0.5000, 0.0000)  2 Hf 2.62
Zr (0.0000, 0.0000, 0.5000)  2 Hf 2.62
Mn (0.5000, 0.0000, 0.0000)  2 Hf 2.55
Hf (0.0000, 0.0000, 0.0000)  2 Mn 2.55, 4 Zr 2.62
Ba (0.5000, 0.5000, 0.5000)  8 Zr 3.66, 4 Mn 3.71

## Properties
E: -35.6058 eV per atom
symmetry: P4/mmm (123)

Record 7
Below is a crystal of BaHfMo3 relaxed with PBEsol, with properties calculated at the meta-GGA SCAN level.

a b c (Å): 4.8486 4.8486 4.8486
angles (deg): 90.00 90.00 90.00
Last column: nearest neighbours and their distance in Å.
Sites, in units of the cell vectors:
Hf (0.5000, 0.5000, 0.5000)  12 Mo 3.43
Mo (0.0000, 0.5000, 0.0000)  2 Ba 2.42
Mo (0.0000, 0.0000, 0.5000)  2 Ba 2.42
Mo (0.5000, 0.0000, 0.0000)  2 Ba 2.42
Ba (0.0000, 0.0000, 0.0000)  6 Mo 2.42

## Properties
E: -38.4256 eV per atom
symmetry: Pm-3m (221)

Record 8
Below is a crystal of Ba5Hf2N6 relaxed with PBEsol, with properties calculated at the meta-GGA SCAN level.

a b c (Å): 6.6698 6.6698 14.7270
angles (deg): 84.22 84.22 66.55
Last column: nearest neighbours and their distance in Å.
Sites, in units of the cell vectors:
Hf (0.1005, 0.3468, 0.0763)  4 N 2.03-2.08
Hf (0.3468, 0.1005, 0.5763)  4 N 2.03-2.08
Hf (0.6532, 0.8995, 0.4237)  4 N 2.03-2.08
Hf (0.8995, 0.6532, 0.9237)  4 N 2.03-2.08
Ba (0.3946, 0.6054, 0.7500)  2 N 2.63
Ba (0.2336, 0.6899, 0.4815)  2 N 2.65-2.91
Ba (0.2134, 0.0986, 0.2927)  4 N 2.62-2.93
Ba (0.6899, 0.2336, 0.9815)  2 N 2.65-2.91
Ba (0.7664, 0.3101, 0.5185)  2 N 2.65-2.91
Ba (0.7866, 0.9014, 0.7073)  4 N 2.62-2.93
Ba (0.6054, 0.3946, 0.2500)  2 N 2.63
Ba (0.9014, 0.7866, 0.2073)  4 N 2.62-2.93
Ba (0.0986, 0.2134, 0.7927)  4 N 2.62-2.93
Ba (0.3101, 0.7664, 0.0185)  2 N 2.65-2.91
N (0.0354, 0.0789, 0.1211)  1 Hf 2.03
N (0.0789, 0.0354, 0.6211)  1 Hf 2.03
N (0.6010, 0.7985, 0.5588)  2 Hf 2.07-2.08
N (0.2664, 0.4444, 0.1594)  1 Hf 2.04
N (0.9646, 0.9211, 0.8789)  1 Hf 2.03
N (0.7336, 0.5556, 0.8406)  1 Hf 2.04
N (0.4444, 0.2664, 0.6594)  1 Hf 2.04
N (0.2015, 0.3990, 0.9412)  2 Hf 2.07-2.08
N (0.5556, 0.7336, 0.3406)  1 Hf 2.04
N (0.3990, 0.2015, 0.4412)  2 Hf 2.07-2.08
N (0.7985, 0.6010, 0.0588)  2 Hf 2.07-2.08
N (0.9211, 0.9646, 0.3789)  1 Hf 2.03

## Properties
E: -30.2790 eV per atom
raw formation energy: -14.78 eV per formula unit
symmetry: C2/c (15)

Record 9
Below is a crystal of Ba7HfN6 relaxed with PBEsol, with properties calculated at the meta-GGA SCAN level.

a b c (Å): 7.0981 12.3578 14.6759
angles (deg): 90.00 90.00 90.00
Last column: nearest neighbours and their distance in Å.
Sites, in units of the cell vectors:
N (0.7631, 0.1273, 0.7844)  1 Hf 2.08
N (0.9468, 0.3322, 0.0086)  5 Ba 2.58-2.87
N (0.2369, 0.8727, 0.2156)  1 Hf 2.08
N (0.2631, 0.6273, 0.7156)  1 Hf 2.08
N (0.3873, 0.5322, 0.3596)  1 Hf 2.06
N (0.6127, 0.5322, 0.8596)  1 Hf 2.06
N (0.1127, 0.9678, 0.8596)  1 Hf 2.06
N (0.6127, 0.4678, 0.6404)  1 Hf 2.06
N (0.7631, 0.8727, 0.7156)  1 Hf 2.08
N (0.4468, 0.1678, 0.0086)  5 Ba 2.58-2.87
N (0.5532, 0.8322, 0.9914)  5 Ba 2.58-2.87
N (0.7369, 0.6273, 0.2156)  1 Hf 2.08
N (0.0532, 0.3322, 0.5086)  5 Ba 2.58-2.87
N (0.7369, 0.3727, 0.2844)  1 Hf 2.08
N (0.2631, 0.3727, 0.7844)  1 Hf 2.08
N (0.5532, 0.1678, 0.5086)  5 Ba 2.58-2.87
N (0.4468, 0.8322, 0.4914)  5 Ba 2.58-2.87
N (0.3873, 0.4678, 0.1404)  1 Hf 2.06
N (0.0532, 0.6678, 0.9914)  5 Ba 2.58-2.87
N (0.8873, 0.9678, 0.3596)  1 Hf 2.06
N (0.9468, 0.6678, 0.4914)  5 Ba 2.58-2.87
N (0.2369, 0.1273, 0.2844)  1 Hf 2.08
N (0.1127, 0.0322, 0.6404)  1 Hf 2.06
N (0.8873, 0.0322, 0.1404)  1 Hf 2.06
Ba (0.1103, 0.7868, 0.6180)  2 N 2.64-2.67
Ba (0.9481, 0.5000, 0.7500)  4 N 2.78-2.90
Ba (0.1103, 0.2132, 0.8820)  2 N 2.64-2.67
Ba (0.8897, 0.2132, 0.3820)  2 N 2.64-2.67
Ba (0.0519, 0.5000, 0.2500)  4 N 2.78-2.90
Ba (0.2572, 0.9842, 0.0286)  3 N 2.65-2.87
Ba (0.6103, 0.7132, 0.6180)  2 N 2.64-2.67
Ba (0.4481, 0.0000, 0.7500)  4 N 2.78-2.90
Ba (0.7612, 0.7378, 0.8710)  4 N 2.58-2.86
Ba (0.2428, 0.4842, 0.9714)  3 N 2.65-2.87
Ba (0.7428, 0.9842, 0.5286)  3 N 2.65-2.87
Ba (0.7428, 0.0158, 0.9714)  3 N 2.65-2.87
Ba (0.7572, 0.4842, 0.4714)  3 N 2.65-2.87
Ba (0.2572, 0.0158, 0.4714)  3 N 2.65-2.87
Ba (0.3897, 0.7132, 0.1180)  2 N 2.64-2.67
Ba (0.2612, 0.2378, 0.6290)  4 N 2.58-2.86
Ba (0.2612, 0.7622, 0.8710)  4 N 2.58-2.86
Ba (0.8897, 0.7868, 0.1180)  2 N 2.64-2.67
Ba (0.7388, 0.7622, 0.3710)  4 N 2.58-2.86
Ba (0.7612, 0.2622, 0.6290)  4 N 2.58-2.86
Ba (0.7388, 0.2378, 0.1290)  4 N 2.58-2.86
Ba (0.3897, 0.2868, 0.3820)  2 N 2.64-2.67
Ba (0.7572, 0.5158, 0.0286)  3 N 2.65-2.87
Ba (0.2388, 0.7378, 0.3710)  4 N 2.58-2.86
Ba (0.5519, 0.0000, 0.2500)  4 N 2.78-2.90
Ba (0.2388, 0.2622, 0.1290)  4 N 2.58-2.86
Ba (0.2428, 0.5158, 0.5286)  3 N 2.65-2.87
Ba (0.6103, 0.2868, 0.8820)  2 N 2.64-2.67
Hf (0.5592, 0.5000, 0.2500)  4 N 2.06-2.08
Hf (0.0592, 0.0000, 0.2500)  4 N 2.06-2.08
Hf (0.4408, 0.5000, 0.7500)  4 N 2.06-2.08
Hf (0.9408, 0.0000, 0.7500)  4 N 2.06-2.08

## Properties
E: -29.0785 eV per atom
raw formation energy: -11.83 eV per formula unit
symmetry: Pbcn (60)

Record 10
Below is a crystal of BaHfSe2N relaxed with PBEsol, with properties calculated at the meta-GGA SCAN level.

a b c (Å): 4.1513 5.2991 5.2991
angles (deg): 90.00 90.00 90.00
Last column: nearest neighbours and their distance in Å.
Sites, in units of the cell vectors:
Ba (0.5000, 0.5000, 0.5000)  8 Se 3.37, 4 N 3.75
N (0.5000, 0.0000, 0.0000)  2 Hf 2.08
Se (0.0000, 0.5000, 0.0000)  2 Hf 2.65
Se (0.0000, 0.0000, 0.5000)  2 Hf 2.65
Hf (0.0000, 0.0000, 0.0000)  2 N 2.08

## Properties
E: -31.7315 eV per atom
raw formation energy: -6.99 eV per formula unit
symmetry: P4/mmm (123)

Record 11
Below is a crystal of BaHfTeN2 relaxed with PBEsol, with properties calculated at the meta-GGA SCAN level.

a b c (Å): 4.4223 4.4223 5.6208
angles (deg): 90.00 90.00 90.00
Last column: nearest neighbours and their distance in Å.
Sites, in units of the cell vectors:
Ba (0.5000, 0.5000, 0.5000)  4 Te 3.13
Hf (0.0000, 0.0000, 0.0000)  4 N 2.21
Te (0.0000, 0.0000, 0.5000)  2 Hf 2.81, 4 Ba 3.13
N (0.5000, 0.0000, 0.0000)  2 Hf 2.21
N (0.0000, 0.5000, 0.0000)  2 Hf 2.21

## Properties
E: -32.1089 eV per atom
raw formation energy: -2.49 eV per formula unit
symmetry: P4/mmm (123)

Record 12
Below is a crystal of BaHf2Nb relaxed with PBEsol, with properties calculated at the meta-GGA SCAN level.

a b c (Å): 5.0685 5.0685 5.0685
angles (deg): 60.00 60.00 60.00
Last column: nearest neighbours and their distance in Å.
Sites, in units of the cell vectors:
Nb (0.0000, 0.0000, 0.0000)  8 Hf 3.10
Hf (0.7500, 0.7500, 0.7500)  4 Ba 3.10, 4 Nb 3.10
Hf (0.2500, 0.2500, 0.2500)  4 Nb 3.10, 4 Ba 3.10
Ba (0.5000, 0.5000, 0.5000)  8 Hf 3.10

## Properties
E: -48.6630 eV per atom
symmetry: Fm-3m (225)